Na3ScMo2O6: relaxed, PBE with a Hubbard U.

```
data_Na3ScMo2O6
_symmetry_space_group_name_H-M 'C 1 2/m 1'
_symmetry_Int_Tables_number 12
_symmetry_space_group_name_Hall '-C 2y'
_cell_length_a 5.5973
_cell_length_b 9.6980
_cell_length_c 5.7740
_cell_angle_alpha 90.00
_cell_angle_beta 108.83
_cell_angle_gamma 90.00
loop_
_atom_site_label
_atom_site_type_symbol
_atom_site_fract_x
_atom_site_fract_y
_atom_site_fract_z
Na1 Na 0.0000 0.0000 0.0000
Na2 Na 0.0000 0.3322 0.0000
Sc1 Sc 0.0000 0.5000 0.5000
Mo1 Mo 0.0000 0.1666 0.5000
O1 O 0.2334 0.3357 0.7076
O2 O 0.2403 0.0000 0.7074
```

## Properties
The total energy is -6.592 eV per atom. As for the calculated volume: 12.360 Å³/atom. As for the crystal system: monoclinic.